! PBE-GGA BC, optimized geometry; values from VASP
&SYSTEM
  ibrav = 0, nat = 12, ntyp = 2
/
ATOMIC_SPECIES
B 10.81 B.upf
C 12.01 C.upf
ATOMIC_POSITIONS angstrom
B 0.000 0.000 0.000
B 1.406 3.671 1.496
B 3.060 4.726 1.196
B 3.236 2.160 2.493
B 4.577 2.350 1.375
B 6.140 5.418 2.501
C 3.365 5.315 2.700
C 3.249 2.985 3.836
C 2.988 3.123 1.111
C 4.074 4.282 3.660
C 5.459 4.098 3.018
C 4.778 1.566 0.013
CELL_PARAMETERS angstrom
4.470 0.000 0.000
1.070 4.432 0.000
1.410 1.733 3.992
! Formation energy from the elements ... 415 meV per atom
! ρ ... 2.9 g/cm³

! PBE-GGA B3C5, optimized geometry; values from VASP
&SYSTEM
  ibrav = 0, nat = 8, ntyp = 2
/
ATOMIC_SPECIES
B 10.81 B.upf
C 12.01 C.upf
ATOMIC_POSITIONS angstrom
B 0.000 0.000 0.000
B 0.000 0.000 6.573
B 0.000 0.000 13.196
C 0.000 0.000 4.993
C 0.000 0.000 11.557
C 0.000 0.000 18.385
C 0.000 0.000 19.897
C 0.000 0.000 24.985
CELL_PARAMETERS angstrom
1.300 0.751 8.851
-1.300 0.751 8.851
0.000 -1.501 8.851
! Formation energy from the elements ... 394 meV per atom
! DOS(E_F) ... 2.22 states/eV/cell
! ρ ... 3.0 g/cm³

! PBE-GGA BC, optimized geometry; values from VASP
&SYSTEM
  ibrav = 0, nat = 12, ntyp = 2
/
ATOMIC_SPECIES
B 10.81 B.upf
C 12.01 C.upf
ATOMIC_POSITIONS angstrom
B -0.032 0.000 2.241
B 0.740 1.302 0.481
B 1.409 0.000 6.264
B 3.012 0.000 0.524
B 3.681 1.302 6.307
B 4.453 0.000 4.547
C 0.797 1.302 2.049
C 1.453 0.000 4.681
C 2.181 1.302 4.181
C 2.241 1.302 2.607
C 2.969 0.000 2.107
C 3.624 1.302 4.739
CELL_PARAMETERS angstrom
4.583 0.000 0.000
0.000 2.604 0.000
-0.161 0.000 6.788
! Formation energy from the elements ... 298 meV per atom
! DOS(E_F) ... 0.95 states/eV/cell
! ρ ... 2.8 g/cm³

! PBE-GGA BC, optimized geometry; values from VASP
&SYSTEM
  ibrav = 0, nat = 12, ntyp = 2
/
ATOMIC_SPECIES
B 10.81 B.upf
C 12.01 C.upf
ATOMIC_POSITIONS angstrom
B 0.000 0.000 0.000
B -0.431 0.000 2.760
B 3.708 0.000 1.073
B 3.570 0.000 3.559
B 7.312 0.000 0.484
B 6.860 0.000 4.511
C 1.293 0.000 5.400
C 2.627 0.000 2.335
C 6.397 0.000 3.028
C 7.579 0.000 2.098
C 10.576 0.000 1.211
C 10.001 0.000 4.030
CELL_PARAMETERS angstrom
5.789 -1.298 0.000
5.789 1.298 0.000
-1.302 0.000 5.561
! Formation energy from the elements ... 377 meV per atom
! DOS(E_F) ... 1.13 states/eV/cell
! ρ ... 2.7 g/cm³

! PBE-GGA BC, optimized geometry; values from VASP
&SYSTEM
  ibrav = 0, nat = 12, ntyp = 2
/
ATOMIC_SPECIES
B 10.81 B.upf
C 12.01 C.upf
ATOMIC_POSITIONS angstrom
B -0.206 1.391 2.514
B 0.861 0.000 0.046
B 0.349 -0.103 1.763
B 2.752 1.391 1.742
B 2.197 -0.103 2.493
B 1.685 0.000 4.210
C -0.594 1.419 4.051
C -0.396 -1.373 2.436
C -0.517 -1.383 3.952
C 3.140 1.419 0.205
C 3.063 -1.383 0.304
C 2.942 -1.373 1.821
CELL_PARAMETERS angstrom
2.362 -4.002 0.000
2.362 4.002 0.000
-2.177 0.000 4.256
! Formation energy from the elements ... 444 meV per atom
! DOS(E_F) ... 2.25 states/eV/cell
! ρ ... 2.8 g/cm³

! PBE-GGA B3C7, optimized geometry; values from VASP
&SYSTEM
  ibrav = 0, nat = 10, ntyp = 2
/
ATOMIC_SPECIES
B 10.81 B.upf
C 12.01 C.upf
ATOMIC_POSITIONS angstrom
B 0.000 0.000 0.000
B 0.000 0.000 2.943
B 0.000 0.000 20.942
C 0.000 0.000 7.409
C 0.000 0.000 8.919
C 0.000 0.000 14.587
C 0.000 0.000 16.214
C 0.000 0.000 22.654
C 0.000 0.000 28.124
C 0.000 0.000 29.665
CELL_PARAMETERS angstrom
1.313 0.758 11.395
-1.313 0.758 11.395
0.000 -1.516 11.395
! Formation energy from the elements ... 267 meV per atom
! DOS(E_F) ... 1.63 states/eV/cell
! ρ ... 2.8 g/cm³

Repeat the second record exactly.
! PBE-GGA B3C5, optimized geometry; values from VASP
&SYSTEM
  ibrav = 0, nat = 8, ntyp = 2
/
ATOMIC_SPECIES
B 10.81 B.upf
C 12.01 C.upf
ATOMIC_POSITIONS angstrom
B 0.000 0.000 0.000
B 0.000 0.000 6.573
B 0.000 0.000 13.196
C 0.000 0.000 4.993
C 0.000 0.000 11.557
C 0.000 0.000 18.385
C 0.000 0.000 19.897
C 0.000 0.000 24.985
CELL_PARAMETERS angstrom
1.300 0.751 8.851
-1.300 0.751 8.851
0.000 -1.501 8.851
! Formation energy from the elements ... 394 meV per atom
! DOS(E_F) ... 2.22 states/eV/cell
! ρ ... 3.0 g/cm³